1.
The following is a DFT calculation (meta-GGA SCAN) of Cu5Si2S7 at its PBEsol-relaxed geometry.

Unit cell a=6.2476 b=8.6515 c=9.4473 alpha=91.95 beta=90.00 gamma=111.17
Last column: nearest neighbours and their distance in Å.
Sites, in units of the cell vectors:
Si 0.3559 0.0397 0.0025  4 S 2.14-2.23
Si 0.9743 0.6073 0.9351  4 S 2.13-2.25
Si 0.6838 0.0397 0.5025  4 S 2.14-2.23
Si 0.6329 0.6073 0.4351  4 S 2.13-2.25
Cu 0.2146 0.7586 0.2991  4 S 2.23-2.29
Cu 0.2658 0.1873 0.3749  4 S 2.24-2.26
Cu 0.1234 0.8977 0.6636  4 S 2.23-2.31
Cu 0.5440 0.7586 0.7991  4 S 2.23-2.29
Cu 0.8114 0.3283 0.2273  4 S 2.25-2.28
Cu 0.7743 0.8977 0.1636  4 S 2.23-2.31
Cu 0.4065 0.4652 0.0808  4 S 2.24-2.26
Cu 0.9215 0.1873 0.8749  4 S 2.24-2.26
Cu 0.0587 0.4652 0.5808  4 S 2.24-2.26
Cu 0.5169 0.3283 0.7273  4 S 2.25-2.28
S 0.9246 0.5430 0.3855  1 Si 2.14, 3 Cu 2.25-2.26
S 0.3239 0.9666 0.4615  1 Si 2.14, 3 Cu 2.23-2.26
S 0.0795 0.8238 0.0924  2 Si 2.23-2.25, 2 Cu 2.29-2.31
S 0.3739 0.4043 0.5303  1 Si 2.14, 3 Cu 2.24-2.28
S 0.5041 0.6716 0.2466  1 Si 2.13, 3 Cu 2.24-2.25
S 0.6184 0.5430 0.8855  1 Si 2.14, 3 Cu 2.25-2.26
S 0.7443 0.8238 0.5924  2 Si 2.23-2.25, 2 Cu 2.29-2.31
S 0.4383 0.2342 0.1627  1 Si 2.14, 3 Cu 2.24-2.25
S 0.8895 0.1129 0.3184  1 Si 2.14, 3 Cu 2.23-2.28
S 0.7959 0.2342 0.6627  1 Si 2.14, 3 Cu 2.24-2.25
S 0.1675 0.6716 0.7466  1 Si 2.13, 3 Cu 2.24-2.25
S 0.6427 0.9666 0.9615  1 Si 2.14, 3 Cu 2.23-2.26
S 0.2235 0.1129 0.8184  1 Si 2.14, 3 Cu 2.23-2.28
S 0.0304 0.4043 0.0303  1 Si 2.14, 3 Cu 2.24-2.28

Summary:
ΔE_f (raw), eV per atom: -0.53


2.
The following is a DFT calculation (meta-GGA SCAN) of CuSiS2 at its PBEsol-relaxed geometry.

Unit cell a=5.0080 b=5.0080 c=6.7897 alpha=111.64 beta=111.64 gamma=90.00
Last column: nearest neighbours and their distance in Å.
Sites, in units of the cell vectors:
S 0.1250 0.1283 0.7500  2 Si 2.28, 2 Cu 2.30
S 0.3783 0.8750 0.2500  2 Si 2.28, 2 Cu 2.30
S 0.6250 0.6217 0.7500  2 Si 2.28, 2 Cu 2.30
S 0.8717 0.3750 0.2500  2 Si 2.28, 2 Cu 2.30
Si 0.5000 0.5000 0.0000  4 S 2.28
Si 0.7500 0.2500 0.5000  4 S 2.28
Cu 0.0000 0.0000 0.0000  4 S 2.30
Cu 0.2500 0.7500 0.5000  4 S 2.30

Summary:
ΔE_f (raw), eV per atom: -0.16


3.
The following is a DFT calculation (meta-GGA SCAN) of Sm3CuSiS7 at its PBEsol-relaxed geometry.

Unit cell a=5.6522 b=9.9378 c=9.9378 alpha=120.00 beta=90.00 gamma=90.00
Last column: nearest neighbours and their distance in Å.
Sites, in units of the cell vectors:
Si 0.6648 0.6667 0.3333  4 S 2.10-2.14
Si 0.1648 0.3333 0.6667  4 S 2.10-2.14
S 0.0181 0.4150 0.8927  1 Si 2.14
S 0.5181 0.8927 0.4778  1 Si 2.14
S 0.2643 0.7451 0.9098  1 Cu 2.23
S 0.7643 0.8353 0.7451  1 Cu 2.23
S 0.5366 0.3333 0.6667  1 Si 2.10
S 0.7643 0.2549 0.0902  1 Cu 2.23
S 0.0181 0.1073 0.5222  1 Si 2.14
S 0.0366 0.6667 0.3333  1 Si 2.10
S 0.7643 0.9098 0.1647  1 Cu 2.23
S 0.0181 0.4778 0.5850  1 Si 2.14
S 0.2643 0.1647 0.2549  1 Cu 2.23
S 0.2643 0.0902 0.8353  1 Cu 2.23
S 0.5181 0.5222 0.4150  1 Si 2.14
S 0.5181 0.5850 0.1073  1 Si 2.14
Sm 0.2504 0.7694 0.6429  8 S 2.78-3.04
Sm 0.7504 0.2306 0.3571  8 S 2.78-3.04
Sm 0.7504 0.6429 0.8736  8 S 2.78-3.04
Sm 0.2504 0.3571 0.1264  8 S 2.78-3.04
Sm 0.2504 0.8736 0.2306  8 S 2.78-3.04
Sm 0.7504 0.1264 0.7694  8 S 2.78-3.04
Cu 0.2749 0.0000 0.0000  3 S 2.23
Cu 0.7749 0.0000 0.0000  3 S 2.23

Summary:
ΔE_f (raw), eV per atom: -1.78


4.
The following is a DFT calculation (meta-GGA SCAN) of Tb3CuSiS7 at its PBEsol-relaxed geometry.

Unit cell a=5.6032 b=9.7896 c=9.7896 alpha=120.00 beta=90.00 gamma=90.00
Last column: nearest neighbours and their distance in Å.
Sites, in units of the cell vectors:
S 0.7716 0.8350 0.7421  1 Cu 2.22
S 0.7716 0.2579 0.0929  1 Cu 2.22
S 0.2716 0.0929 0.8350  1 Cu 2.22
S 0.0417 0.6667 0.3333  1 Si 2.10
S 0.2716 0.7421 0.9071  1 Cu 2.22
S 0.7716 0.9071 0.1650  1 Cu 2.22
S 0.5168 0.8956 0.4789  1 Si 2.14
S 0.5417 0.3333 0.6667  1 Si 2.10
S 0.2716 0.1650 0.2579  1 Cu 2.22
S 0.0168 0.1044 0.5211  1 Si 2.14
S 0.5168 0.5833 0.1044  1 Si 2.14
S 0.0168 0.4167 0.8956  1 Si 2.14
S 0.5168 0.5211 0.4167  1 Si 2.14
S 0.0168 0.4789 0.5833  1 Si 2.14
Cu 0.7867 0.0000 0.0000  3 S 2.22
Cu 0.2867 0.0000 0.0000  3 S 2.22
Si 0.1669 0.3333 0.6667  4 S 2.10-2.14
Si 0.6669 0.6667 0.3333  4 S 2.10-2.14
Tb 0.2537 0.3570 0.1277  8 S 2.74-3.02
Tb 0.2537 0.7706 0.6430  8 S 2.74-3.02
Tb 0.2537 0.8723 0.2294  8 S 2.74-3.02
Tb 0.7537 0.2294 0.3570  8 S 2.74-3.02
Tb 0.7537 0.1277 0.7706  8 S 2.74-3.02
Tb 0.7537 0.6430 0.8723  8 S 2.74-3.02

Summary:
ΔE_f (raw), eV per atom: -1.75


5.
The following is a DFT calculation (meta-GGA SCAN) of Y3CuSiS7 at its PBEsol-relaxed geometry.

Unit cell a=5.6020 b=9.7671 c=9.7671 alpha=120.00 beta=90.00 gamma=90.00
Last column: nearest neighbours and their distance in Å.
Sites, in units of the cell vectors:
Y 0.2578 0.7711 0.6429  8 S 2.73-3.03
Y 0.2578 0.3571 0.1282  8 S 2.73-3.03
Y 0.2578 0.8718 0.2289  8 S 2.73-3.03
Y 0.7578 0.2289 0.3571  8 S 2.73-3.03
Y 0.7578 0.1282 0.7711  8 S 2.73-3.03
Y 0.7578 0.6429 0.8718  8 S 2.73-3.03
S 0.5199 0.5828 0.1040  1 Si 2.14
S 0.5199 0.5212 0.4172  1 Si 2.14
S 0.2777 0.0936 0.8352  1 Cu 2.22
S 0.7777 0.2584 0.0936  1 Cu 2.22
S 0.5199 0.8960 0.4788  1 Si 2.14
S 0.0458 0.6667 0.3333  1 Si 2.10
S 0.7777 0.9064 0.1648  1 Cu 2.22
S 0.2777 0.1648 0.2584  1 Cu 2.22
S 0.7777 0.8352 0.7416  1 Cu 2.22
S 0.0199 0.4788 0.5828  1 Si 2.14
S 0.0199 0.1040 0.5212  1 Si 2.14
S 0.2777 0.7416 0.9064  1 Cu 2.22
S 0.5458 0.3333 0.6667  1 Si 2.10
S 0.0199 0.4172 0.8960  1 Si 2.14
Cu 0.2942 0.0000 0.0000  3 S 2.22
Cu 0.7942 0.0000 0.0000  3 S 2.22
Si 0.6708 0.6667 0.3333  4 S 2.10-2.14
Si 0.1708 0.3333 0.6667  4 S 2.10-2.14

Summary:
ΔE_f (raw), eV per atom: -1.77


6.
The following is a DFT calculation (meta-GGA SCAN) of SmCuS2 at its PBEsol-relaxed geometry.

Unit cell a=6.3185 b=6.7185 c=7.0371 alpha=90.00 beta=90.00 gamma=97.28
Last column: nearest neighbours and their distance in Å.
Sites, in units of the cell vectors:
Sm 0.8089 0.1989 0.9506  7 S 2.77-3.01
Sm 0.1911 0.8011 0.0494  7 S 2.77-3.01
Sm 0.1911 0.3011 0.4506  7 S 2.77-3.01
Sm 0.8089 0.6989 0.5494  7 S 2.77-3.01
S 0.4046 0.2219 0.1107  3 Cu 2.30-2.45
S 0.0840 0.9993 0.7247  1 Cu 2.28
S 0.9160 0.5007 0.2247  1 Cu 2.28
S 0.9160 0.0007 0.2753  1 Cu 2.28
S 0.4046 0.7219 0.3893  3 Cu 2.30-2.45
S 0.5954 0.2781 0.6107  3 Cu 2.30-2.45
S 0.0840 0.4993 0.7753  1 Cu 2.28
S 0.5954 0.7781 0.8893  3 Cu 2.30-2.45
Cu 0.4281 0.9493 0.6635  4 S 2.28-2.45, 1 Cu 2.53
Cu 0.5719 0.5507 0.1635  4 S 2.28-2.45, 1 Cu 2.53
Cu 0.4281 0.4493 0.8365  4 S 2.28-2.45, 1 Cu 2.53
Cu 0.5719 0.0507 0.3365  4 S 2.28-2.45, 1 Cu 2.53

Summary:
ΔE_f (raw), eV per atom: -1.59


7.
The following is a DFT calculation (meta-GGA SCAN) of Cu2SnS3 at its PBEsol-relaxed geometry.

Unit cell a=3.8478 b=5.3310 c=6.5802 alpha=113.90 beta=107.00 gamma=90.00
Last column: nearest neighbours and their distance in Å.
Sites, in units of the cell vectors:
Sn 0.5000 0.7315 0.0000  4 S 2.42-2.51
S 0.3218 0.3065 0.6436  3 Cu 2.26-2.27, 1 Sn 2.42
S 0.0000 0.0349 0.0000  2 Cu 2.29, 2 Sn 2.51
S 0.6782 0.6629 0.3564  3 Cu 2.26-2.27, 1 Sn 2.42
Cu 0.1707 0.4318 0.3414  4 S 2.26-2.29
Cu 0.8293 0.0904 0.6586  4 S 2.26-2.29

Summary:
ΔE_f (raw), eV per atom: -0.38


8.
The following is a DFT calculation (meta-GGA SCAN) of CuSn3S at its PBEsol-relaxed geometry.

Unit cell a=4.9650 b=4.9650 c=4.9650 alpha=90.00 beta=90.00 gamma=90.00
Last column: nearest neighbours and their distance in Å.
Sites, in units of the cell vectors:
Sn 0.0000 0.0000 0.5000  2 Cu 2.48
Sn 0.5000 0.0000 0.0000  2 Cu 2.48
Sn 0.0000 0.5000 0.0000  2 Cu 2.48
Cu 0.0000 0.0000 0.0000  6 Sn 2.48
S 0.5000 0.5000 0.5000  12 Sn 3.51

Summary:
ΔE_f (raw), eV per atom: 0.33


9.
The following is a DFT calculation (meta-GGA SCAN) of CuSnS3 at its PBEsol-relaxed geometry.

Unit cell a=4.5393 b=4.5393 c=4.5393 alpha=90.00 beta=90.00 gamma=90.00
Last column: nearest neighbours and their distance in Å.
Sites, in units of the cell vectors:
S 0.5000 0.0000 0.0000  2 Cu 2.27
S 0.0000 0.5000 0.0000  2 Cu 2.27
S 0.0000 0.0000 0.5000  2 Cu 2.27
Cu 0.0000 0.0000 0.0000  6 S 2.27
Sn 0.5000 0.5000 0.5000  12 S 3.21

Summary:
ΔE_f (raw), eV per atom: 0.23


10.
The following is a DFT calculation (meta-GGA SCAN) of Cu4SnS4 at its PBEsol-relaxed geometry.

Unit cell a=6.3896 b=7.5253 c=13.2534 alpha=90.00 beta=90.00 gamma=90.00
Last column: nearest neighbours and their distance in Å.
Sites, in units of the cell vectors:
S 0.2777 0.7500 0.9220  3 Cu 2.24, 1 Sn 2.47
S 0.2480 0.2500 0.9039  4 Cu 2.24-2.37, 1 Sn 2.48
S 0.2432 0.5016 0.6755  4 Cu 2.25-2.43, 1 Sn 2.48
S 0.2568 0.9984 0.1755  4 Cu 2.25-2.43, 1 Sn 2.48
S 0.7568 0.0016 0.3245  4 Cu 2.25-2.43, 1 Sn 2.48
S 0.7432 0.0016 0.8245  4 Cu 2.25-2.43, 1 Sn 2.48
S 0.2432 0.9984 0.6755  4 Cu 2.25-2.43, 1 Sn 2.48
S 0.2568 0.5016 0.1755  4 Cu 2.25-2.43, 1 Sn 2.48
S 0.7432 0.4984 0.8245  4 Cu 2.25-2.43, 1 Sn 2.48
S 0.7568 0.4984 0.3245  4 Cu 2.25-2.43, 1 Sn 2.48
S 0.7777 0.2500 0.5780  3 Cu 2.24, 1 Sn 2.47
S 0.7520 0.7500 0.0961  4 Cu 2.24-2.37, 1 Sn 2.48
S 0.2223 0.7500 0.4220  3 Cu 2.24, 1 Sn 2.47
S 0.7223 0.2500 0.0780  3 Cu 2.24, 1 Sn 2.47
S 0.2520 0.2500 0.4039  4 Cu 2.24-2.37, 1 Sn 2.48
S 0.7480 0.7500 0.5961  4 Cu 2.24-2.37, 1 Sn 2.48
Sn 0.3915 0.2500 0.5784  4 S 2.47-2.48
Sn 0.8915 0.7500 0.9216  4 S 2.47-2.48
Sn 0.1085 0.2500 0.0784  4 S 2.47-2.48
Sn 0.6085 0.7500 0.4216  4 S 2.47-2.48
Cu 0.1127 0.9853 0.3336  4 S 2.24-2.37
Cu 0.8873 0.4853 0.6664  4 S 2.24-2.37
Cu 0.6127 0.0147 0.1664  4 S 2.24-2.37
Cu 0.4386 0.7500 0.6757  3 S 2.24-2.25, 1 Cu 2.49
Cu 0.9386 0.2500 0.8243  3 S 2.24-2.25, 1 Cu 2.49
Cu 0.1021 0.7500 0.5804  4 S 2.24-2.43, 1 Cu 2.49
Cu 0.5614 0.2500 0.3243  3 S 2.24-2.25, 1 Cu 2.49
Cu 0.6127 0.4853 0.1664  4 S 2.24-2.37
Cu 0.8873 0.0147 0.6664  4 S 2.24-2.37
Cu 0.0614 0.7500 0.1757  3 S 2.24-2.25, 1 Cu 2.49
Cu 0.3979 0.7500 0.0804  4 S 2.24-2.43, 1 Cu 2.49
Cu 0.3873 0.9853 0.8336  4 S 2.24-2.37
Cu 0.1127 0.5147 0.3336  4 S 2.24-2.37
Cu 0.6021 0.2500 0.9196  4 S 2.24-2.43, 1 Cu 2.49
Cu 0.3873 0.5147 0.8336  4 S 2.24-2.37
Cu 0.8979 0.2500 0.4196  4 S 2.24-2.43, 1 Cu 2.49

Summary:
ΔE_f (raw), eV per atom: -0.29


11.
The following is a DFT calculation (meta-GGA SCAN) of Cu2SnS3 at its PBEsol-relaxed geometry.

Unit cell a=6.5996 b=6.5996 c=12.0199 alpha=100.47 beta=100.47 gamma=109.78
Last column: nearest neighbours and their distance in Å.
Sites, in units of the cell vectors:
Cu 0.9165 0.0835 0.0000  4 S 2.26-2.27
Cu 0.0776 0.2400 0.3330  4 S 2.26-2.29
Cu 0.1619 0.8381 0.5000  4 S 2.27-2.29
Cu 0.6665 0.3335 0.5000  4 S 2.26-2.27
Cu 0.8430 0.5054 0.8330  4 S 2.26-2.29
Cu 0.4946 0.1570 0.1670  4 S 2.26-2.29
Cu 0.4119 0.5881 0.0000  4 S 2.27-2.29
Cu 0.7600 0.9224 0.6670  4 S 2.26-2.29
S 0.7153 0.1543 0.3338  3 Cu 2.26-2.27, 1 Sn 2.41
S 0.4791 0.3916 0.8429  2 Cu 2.29, 2 Sn 2.52
S 0.8041 0.7036 0.5119  3 Cu 2.27, 1 Sn 2.41
S 0.9295 0.8685 0.8338  3 Cu 2.26-2.27, 1 Sn 2.41
S 0.0422 0.4417 0.9881  3 Cu 2.27, 1 Sn 2.41
S 0.3862 0.7987 0.6571  2 Cu 2.29, 2 Sn 2.52
S 0.2013 0.6138 0.3429  2 Cu 2.29, 2 Sn 2.52
S 0.2964 0.1959 0.4881  3 Cu 2.27, 1 Sn 2.41
S 0.5583 0.9578 0.0119  3 Cu 2.27, 1 Sn 2.41
S 0.6084 0.5209 0.1571  2 Cu 2.29, 2 Sn 2.52
S 0.8457 0.2847 0.6662  3 Cu 2.26-2.27, 1 Sn 2.41
S 0.1315 0.0705 0.1662  3 Cu 2.26-2.27, 1 Sn 2.41
Sn 0.0132 0.6783 0.1578  4 S 2.41-2.52
Sn 0.3217 0.9868 0.8422  4 S 2.41-2.52
Sn 0.2295 0.3946 0.6578  4 S 2.41-2.52
Sn 0.6054 0.7705 0.3422  4 S 2.41-2.52

Summary:
ΔE_f (raw), eV per atom: -0.38


12.
The following is a DFT calculation (meta-GGA SCAN) of Cu2SnS3 at its PBEsol-relaxed geometry.

Unit cell a=6.5868 b=6.5839 c=6.6110 alpha=80.29 beta=70.29 gamma=59.99
Last column: nearest neighbours and their distance in Å.
Sites, in units of the cell vectors:
S 0.6960 0.8310 0.6240  3 Cu 2.26-2.27, 1 Sn 2.42
S 0.5269 0.1690 0.1240  3 Cu 2.26-2.27, 1 Sn 2.42
S 0.8848 0.5259 0.1239  3 Cu 2.26-2.27, 1 Sn 2.41
S 0.4108 0.4741 0.6239  3 Cu 2.26-2.27, 1 Sn 2.41
S 0.0610 0.1851 0.6019  2 Cu 2.28-2.29, 2 Sn 2.51-2.52
S 0.2461 0.8149 0.1019  2 Cu 2.28-2.29, 2 Sn 2.51-2.52
Sn 0.9078 0.1861 0.0052  4 S 2.41-2.52
Sn 0.0938 0.8139 0.5052  4 S 2.41-2.52
Cu 0.6030 0.8367 0.9872  4 S 2.26-2.29
Cu 0.4397 0.1633 0.4872  4 S 2.26-2.29
Cu 0.7605 0.5037 0.4868  4 S 2.26-2.28
Cu 0.2642 0.4963 0.9868  4 S 2.26-2.28

Summary:
ΔE_f (raw), eV per atom: -0.38